Record 1
La2Nd3DyTe6 after structural relaxation. Source: the Alexandria database, functional PBE.

a = 4.485 Å, b = 9.051 Å, c = 10.052 Å
α = 102.71°, β = 102.89°, γ = 90.00°
Fractional coordinates of all 12 atoms:
Te  0.665  0.587  0.331
Te  0.662  0.078  0.323
Te  0.335  0.413  0.669
Te  0.997  0.240  0.994
Te  0.003  0.760  0.006
Te  0.338  0.922  0.677
Nd  0.500  0.500  0.000
Nd  0.171  0.835  0.342
Nd  0.829  0.165  0.658
La  0.167  0.334  0.333
La  0.833  0.666  0.667
Dy  0.500  0.000  0.000

Results
- crystal system = monoclinic
- formation energy without anion corrections (meV/atom) = -1456
- DOS(E_F) (states/eV per cell) = 7.16

Record 2
La2NdDy3Te6 after structural relaxation. Source: the Alexandria database, functional PBE.

a = 4.420 Å, b = 8.984 Å, c = 9.998 Å
α = 104.20°, β = 102.77°, γ = 90.00°
Fractional coordinates of all 12 atoms:
La  0.835  0.670  0.669
La  0.165  0.330  0.331
Dy  0.500  0.500  0.000
Dy  0.833  0.167  0.665
Dy  0.167  0.833  0.335
Te  0.005  0.744  0.009
Te  0.669  0.072  0.338
Te  0.995  0.256  0.991
Te  0.663  0.592  0.327
Te  0.331  0.928  0.662
Te  0.337  0.408  0.673
Nd  0.500  0.000  0.000

Results
- crystal system = monoclinic
- formation energy without anion corrections (meV/atom) = -1414
- DOS(E_F) (states/eV per cell) = 6.70

Record 3
LaNdDyTe3 after structural relaxation. Source: the Alexandria database, functional PBE.

a = 4.417 Å, b = 8.653 Å, c = 10.896 Å
α = 104.97°, β = 90.00°, γ = 90.00°
Fractional coordinates of all 12 atoms:
Nd  0.750  0.334  0.910
Nd  0.250  0.666  0.090
Te  0.250  0.514  0.788
Te  0.250  0.077  0.887
Te  0.750  0.221  0.454
Te  0.250  0.779  0.546
Te  0.750  0.486  0.212
Te  0.750  0.923  0.113
La  0.750  0.806  0.779
La  0.250  0.194  0.221
Dy  0.750  0.847  0.380
Dy  0.250  0.153  0.620

Results
- crystal system = monoclinic
- formation energy without anion corrections (meV/atom) = -1307
- DOS(E_F) (states/eV per cell) = 9.19

Record 4
La2NdDyTh after structural relaxation. Source: the Alexandria database, functional PBE.

a = 5.913 Å, b = 6.360 Å, c = 9.821 Å
α = 71.09°, β = 90.00°, γ = 90.00°
Fractional coordinates of all 10 atoms:
Dy  0.750  0.572  0.192
Dy  0.250  0.428  0.808
Nd  0.750  0.375  0.603
Nd  0.250  0.625  0.397
Th  0.250  0.849  0.007
Th  0.750  0.151  0.993
La  0.250  0.026  0.611
La  0.750  0.752  0.816
La  0.250  0.248  0.184
La  0.750  0.974  0.389

Results
- DFT formation energy (eV/atom) = 0.06
- crystal system = monoclinic
- DOS(E_F) (states/eV per cell) = 17.83

Record 5
LaNdDyTh2 after structural relaxation. Source: the Alexandria database, functional PBE.

a = 6.764 Å, b = 6.746 Å, c = 8.604 Å
α = 113.08°, β = 90.00°, γ = 90.00°
Fractional coordinates of all 10 atoms:
Th  0.000  0.253  0.000
Th  0.500  0.747  0.000
Th  0.000  0.747  0.000
Th  0.500  0.253  0.000
Dy  0.750  0.349  0.698
Dy  0.250  0.651  0.302
La  0.250  0.264  0.527
La  0.750  0.736  0.473
Nd  0.250  0.849  0.698
Nd  0.750  0.151  0.302

Results
- DFT formation energy (eV/atom) = 0.35
- crystal system = orthorhombic
- DOS(E_F) (states/eV per cell) = 16.38

Record 6
LaNdDy5Th2 after structural relaxation. Source: the Alexandria database, functional PBE.

a = 8.921 Å, b = 8.921 Å, c = 9.935 Å
α = 116.68°, β = 116.68°, γ = 90.00°
Fractional coordinates of all 18 atoms:
Dy  0.841  0.930  0.270
Dy  0.659  0.159  0.730
Dy  0.341  0.841  0.270
Dy  0.500  0.500  0.000
Dy  0.159  0.070  0.730
Dy  0.070  0.570  0.730
Dy  0.930  0.430  0.270
Dy  0.000  0.000  0.000
Dy  0.430  0.341  0.270
Dy  0.570  0.659  0.730
Th  0.381  0.881  0.000
Th  0.619  0.119  0.000
Th  0.119  0.381  0.000
Th  0.881  0.619  0.000
Nd  0.250  0.750  0.500
Nd  0.750  0.250  0.500
La  0.750  0.750  0.500
La  0.250  0.250  0.500

Results
- DFT formation energy (eV/atom) = 0.31
- crystal system = tetragonal
- DOS(E_F) (states/eV per cell) = 25.23

Record 7
La6NdDy2Th after structural relaxation. Source: the Alexandria database, functional PBE.

a = 10.251 Å, b = 8.884 Å, c = 8.884 Å
α = 116.12°, β = 96.39°, γ = 96.39°
Fractional coordinates of all 20 atoms:
La  0.444  0.256  0.894
La  0.310  0.995  0.431
La  0.944  0.894  0.256
La  0.619  0.496  0.693
La  0.190  0.569  0.005
La  0.881  0.307  0.504
La  0.810  0.431  0.995
La  0.556  0.744  0.106
La  0.119  0.693  0.496
La  0.056  0.106  0.744
La  0.381  0.504  0.307
La  0.690  0.005  0.569
Dy  0.550  0.190  0.276
Dy  0.950  0.724  0.810
Dy  0.450  0.810  0.724
Dy  0.050  0.276  0.190
Nd  0.750  0.018  0.982
Nd  0.250  0.982  0.018
Th  0.250  0.404  0.596
Th  0.750  0.596  0.404

Results
- DFT formation energy (eV/atom) = 0.13
- crystal system = monoclinic
- DOS(E_F) (states/eV per cell) = 31.45

Record 8
La4Nd2DyTh after structural relaxation. Source: the Alexandria database, functional PBE.

a = 5.213 Å, b = 5.197 Å, c = 11.594 Å
α = 63.36°, β = 90.00°, γ = 90.00°
Fractional coordinates of all 8 atoms:
Th  0.000  0.500  0.500
La  0.000  0.754  0.746
La  0.500  0.747  0.253
La  0.000  0.246  0.254
La  0.500  0.253  0.747
Nd  0.500  0.000  0.500
Nd  0.000  0.000  0.000
Dy  0.500  0.500  0.000

Results
- DFT formation energy (eV/atom) = 0.04
- crystal system = orthorhombic
- DOS(E_F) (states/eV per cell) = 13.68

Record 9
La4NdDy2Th after structural relaxation. Source: the Alexandria database, functional PBE.

a = 3.659 Å, b = 6.314 Å, c = 12.128 Å
α = 80.07°, β = 90.00°, γ = 90.00°
Fractional coordinates of all 8 atoms:
Nd  0.500  0.500  0.000
La  0.000  0.751  0.746
La  0.000  0.249  0.254
La  0.500  0.255  0.747
La  0.500  0.745  0.253
Th  0.000  0.500  0.500
Dy  0.500  0.000  0.500
Dy  0.000  0.000  0.000

Results
- DFT formation energy (eV/atom) = 0.03
- crystal system = monoclinic
- DOS(E_F) (states/eV per cell) = 12.81

Record 10
La2Nd5DyTh after structural relaxation. Source: the Alexandria database, functional PBE.

a = 5.763 Å, b = 10.750 Å, c = 10.726 Å
α = 90.00°, β = 90.00°, γ = 105.55°
Fractional coordinates of all 18 atoms:
Nd  0.275  0.550  0.314
Nd  0.293  0.587  0.704
Nd  0.984  0.969  0.519
Nd  0.725  0.450  0.814
Nd  0.615  0.230  0.524
Nd  0.016  0.031  0.019
Nd  0.483  0.966  0.744
Nd  0.707  0.413  0.204
Nd  0.517  0.034  0.244
Nd  0.385  0.770  0.024
Dy  0.405  0.810  0.461
Dy  0.595  0.190  0.961
Th  0.199  0.398  0.011
Th  0.801  0.602  0.511
La  0.115  0.230  0.733
La  0.116  0.232  0.315
La  0.885  0.770  0.233
La  0.884  0.768  0.815

Results
- DFT formation energy (eV/atom) = 0.14
- crystal system = orthorhombic
- DOS(E_F) (states/eV per cell) = 25.23

Record 11
LaNd3DyTh after structural relaxation. Source: the Alexandria database, functional PBE.

a = 5.168 Å, b = 8.184 Å, c = 10.975 Å
α = 116.99°, β = 90.00°, γ = 90.00°
Fractional coordinates of all 12 atoms:
Th  0.250  0.122  0.622
Th  0.750  0.878  0.378
Nd  0.750  0.381  0.207
Nd  0.750  0.870  0.044
Nd  0.250  0.636  0.455
Nd  0.750  0.364  0.545
Nd  0.250  0.130  0.956
Nd  0.250  0.619  0.793
Dy  0.750  0.374  0.872
Dy  0.250  0.626  0.128
La  0.750  0.885  0.704
La  0.250  0.115  0.296

Results
- DFT formation energy (eV/atom) = 0.03
- crystal system = monoclinic
- DOS(E_F) (states/eV per cell) = 19.01

Record 12
La2NdDy4Th after structural relaxation. Source: the Alexandria database, functional PBE.

a = 5.171 Å, b = 5.169 Å, c = 11.234 Å
α = 62.66°, β = 90.00°, γ = 90.00°
Fractional coordinates of all 8 atoms:
Nd  0.500  0.500  0.000
La  0.000  0.000  0.000
La  0.500  0.000  0.500
Dy  0.000  0.244  0.256
Dy  0.000  0.756  0.744
Dy  0.500  0.256  0.744
Dy  0.500  0.744  0.256
Th  0.000  0.500  0.500

Results
- DFT formation energy (eV/atom) = 0.03
- crystal system = monoclinic
- DOS(E_F) (states/eV per cell) = 10.30